The following is a PBE calculation of a relaxed NdSmLuAg crystal, from the Alexandria database.

Geometry as POSCAR:
```
NdSmLuAg
1.0
5.4369 0.0000 0.0000
2.7185 4.7085 0.0000
2.7185 1.5695 4.4392
Sm Lu Nd Ag
1 1 1 1
Cartesian
0.0000 0.0000 0.0000
8.1554 4.7085 3.3294
5.4369 3.1390 2.2196
2.7185 1.5695 1.1098
```

Computed properties:
**Crystal system**: cubic
**Electronic total energy**: -4.1738 eV per atom
**V**: 28.411 Å³/atom
**Calculated formation energy**: 0.041 eV per atom
**Magnetic moment**: 0.00 μB per formula unit